! Bi2SbPb5 | Alexandria | PBE-GGA | relaxed; values from VASP
&SYSTEM
  ibrav = 0, nat = 16, ntyp = 3
/
ATOMIC_SPECIES
Pb 207.20 Pb.upf
Bi 208.98 Bi.upf
Sb 121.76 Sb.upf
ATOMIC_POSITIONS angstrom
Pb -1.667 -11.486 6.743
Pb -0.997 -3.498 3.832
Pb -2.739 -6.420 3.206
Pb 3.720 -3.106 -0.280
Pb 0.286 -1.576 1.138
Pb 1.359 -6.642 4.675
Pb -2.172 -3.950 0.611
Pb 0.792 -9.111 7.271
Pb -0.383 -9.564 4.050
Pb -5.101 -9.956 8.162
Bi 1.207 -5.288 -0.932
Bi 0.000 -7.095 1.601
Bi -2.588 -7.774 8.813
Bi -1.381 -5.967 6.280
Sb 1.909 -4.365 2.260
Sb -3.290 -8.696 5.621
CELL_PARAMETERS angstrom
-3.044 -3.303 -3.807
6.565 -2.419 1.403
-4.902 -7.340 10.286
! * formation energy (no corrections): 0.06 eV per atom
! * energy relative to the lowest polymorph listed for this composition: 44 meV per atom
! * spin magnetization: 0.000 μB/f.u.